VASP calculation (PBE) on a relaxed K4Ag3Hg crystal.

Cell lengths 4.8078, 4.9408, 12.4802 Å; angles 90.00, 90.00, 90.00 degrees
Last column: nearest neighbours and their distance in Å.
Space group Pmm2 (No. 25)
Asymmetric unit:
K 0.0000 0.0000 0.0000 (multiplicity 1)  6 Ag 3.43-3.60, 1 Hg 3.70
K 0.0000 0.5000 0.2819 (multiplicity 1)  7 Ag 3.46-3.68
K 0.5000 0.0000 0.4869 (multiplicity 1)  2 Hg 3.62, 5 Ag 3.62-3.63
K 0.5000 0.5000 0.7879 (multiplicity 1)  3 Ag 3.57-3.68, 4 Hg 3.60
Ag 0.0000 0.5000 0.5764 (multiplicity 1)  2 Hg 2.94
Ag 0.5000 0.0000 0.1963 (multiplicity 1)  2 Ag 2.85
Ag 0.5000 0.5000 0.0824 (multiplicity 1)  2 Ag 2.85
Hg 0.0000 0.0000 0.7036 (multiplicity 1)  2 Ag 2.94

ΔH_f (0 K): -0.0454 eV per atom